# 1
Computed, not measured: an optimized crystal structure of TlAsPb2 at the PBEsol level of DFT.

Structure (extended XYZ):
```
4
Lattice="3.7962 0.0000 0.0000 0.0000 3.7962 0.0000 0.0000 0.0000 7.4481" Properties=species:S:1:pos:R:3 pbc="T T T"
Tl 0.0000 0.0000 0.0000
As 0.0000 0.0000 3.7240
Pb 1.8981 1.8981 2.1400
Pb 1.8981 1.8981 5.3080
```

Computed properties:
Its space group is P4/mmm, No. 123. The calculation puts the energy of formation from the pure elements at 0.182 eV/f.u. The total magnetization is 0.000 Bohr magnetons per cell. As for the energy above the most stable polymorph in this dataset: 0.007 eV per atom.

---

# 2
Computed, not measured: an optimized crystal structure of BeCu2Ag at the PBEsol level of DFT.

Structure (extended XYZ):
```
4
Lattice="2.7098 0.0000 0.0000 0.0000 2.7098 0.0000 0.0000 0.0000 6.3884" Properties=species:S:1:pos:R:3 pbc="T T T"
Be 0.0000 0.0000 0.0000
Cu 1.3549 1.3549 1.2810
Cu 1.3549 1.3549 5.1073
Ag 0.0000 0.0000 3.1942
```

Computed properties:
Its space group is P4/mmm, No. 123. The calculation puts the energy of formation from the pure elements at -0.001 eV/f.u. The total magnetization is 0.000 Bohr magnetons per cell.

---

# 3
Computed, not measured: an optimized crystal structure of RbCoSe2N at the PBEsol level of DFT.

Structure (extended XYZ):
```
5
Lattice="5.7037 0.0000 0.0000 0.0000 5.7037 0.0000 0.0000 0.0000 4.8717" Properties=species:S:1:pos:R:3 pbc="T T T"
Rb 0.0000 0.0000 0.0000
Co 2.8519 2.8519 2.4358
Se 0.0000 2.8519 0.0000
Se 2.8519 0.0000 0.0000
N 0.0000 0.0000 2.4358
```

Computed properties:
Its space group is P4/mmm, No. 123. The total magnetization is 5.718 Bohr magnetons per cell. As for the uncorrected formation energy: 2.30 eV per atom.

---

# 4
Computed, not measured: an optimized crystal structure of Rb2ZnGaH at the PBEsol level of DFT.

Structure (extended XYZ):
```
5
Lattice="6.5526 0.0000 0.0000 0.0000 6.5526 0.0000 0.0000 0.0000 4.5517" Properties=species:S:1:pos:R:3 pbc="T T T"
Rb 0.0000 3.2763 0.0000
Rb 3.2763 0.0000 0.0000
Zn 0.0000 0.0000 0.0000
Ga 0.0000 0.0000 2.2759
H 3.2763 3.2763 2.2759
```

Computed properties:
Its space group is P4/mmm, No. 123. The total magnetization is 0.001 Bohr magnetons per cell. The calculation puts the total energy at -1.677 eV/atom.

---

# 5
Computed, not measured: an optimized crystal structure of TlMo2Rh at the PBEsol level of DFT.

Structure (extended XYZ):
```
4
Lattice="2.8184 0.0000 0.0000 0.0000 4.2268 0.0000 0.0000 0.0000 5.4620" Properties=species:S:1:pos:R:3 pbc="T T T"
Tl 0.0000 0.0000 0.0000
Mo 1.4092 2.1134 1.5442
Mo 1.4092 2.1134 3.9178
Rh 0.0000 0.0000 2.7310
```

Computed properties:
Its space group is Pmmm, No. 47. The calculation puts the energy of formation from the pure elements at 1.303 eV/f.u. The total magnetization is 0.001 Bohr magnetons per cell. As for the energy above the most stable polymorph in this dataset: 0.000 eV per atom.

---

# 6
Computed, not measured: an optimized crystal structure of Rb3PbF at the PBEsol level of DFT.

Structure (extended XYZ):
```
5
Lattice="6.8572 0.0000 0.0000 0.0000 6.8572 0.0000 0.0000 0.0000 6.8572" Properties=species:S:1:pos:R:3 pbc="T T T"
Rb 0.0000 0.0000 3.4286
Rb 0.0000 3.4286 0.0000
Rb 3.4286 0.0000 0.0000
Pb 0.0000 0.0000 0.0000
F 3.4286 3.4286 3.4286
```

Computed properties:
Its space group is Pm-3m, No. 221. The total magnetization is 0.001 Bohr magnetons per cell. As for the uncorrected formation energy: -0.39 eV per atom.

---

# 7
Computed, not measured: an optimized crystal structure of SrY3Ru at the PBEsol level of DFT.

Structure (extended XYZ):
```
10
Lattice="7.6540 0.0000 0.0000 -3.8270 6.6286 0.0000 0.0000 0.0000 6.0679" Properties=species:S:1:pos:R:3 pbc="T T T"
Sr 0.0000 4.4190 1.5170
Sr 3.8270 2.2095 4.5509
Y 0.0000 2.2311 4.5509
Y -1.8948 5.5130 4.5509
Y 1.9322 1.1156 1.5170
Y 1.8948 5.5130 4.5509
Y 5.7218 1.1156 1.5170
Y 3.8270 4.3975 1.5170
Ru 0.0000 0.0000 0.0000
Ru 0.0000 0.0000 3.0339
```

Computed properties:
Its space group is P6_3/mmc, No. 194. The calculation puts the energy of formation from the pure elements at -0.753 eV/f.u. The total magnetization is 0.853 Bohr magnetons per cell.

---

# 8
Computed, not measured: an optimized crystal structure of Al2Sb at the PBEsol level of DFT.

Structure (extended XYZ):
```
3
Lattice="4.0103 0.0000 0.0000 -2.0052 3.4730 0.0000 0.0000 0.0000 4.8084" Properties=species:S:1:pos:R:3 pbc="T T T"
Al 0.0000 2.3154 1.6165
Al 2.0052 1.1577 3.1919
Sb 0.0000 0.0000 0.0000
```

Computed properties:
Its space group is P-3m1, No. 164. The total magnetization is 0.000 Bohr magnetons per cell. As for the uncorrected formation energy: 0.16 eV per atom.